This record from Alexandria via LeMat-Bulk describes BiPtAu3 at its PBEsol-relaxed geometry. The functional is SCAN.

Calculated values
SG: Pm-3m, No. 221
Fermi-level density of states (states/eV/f.u.): 4.78
ΔE_f (eV per atom): 0.640
Crystal system: cubic

Structure (extended XYZ):
```
5
Lattice="-1.0205 4.8410 -0.4038 -4.7038 -0.8817 1.3177 1.2134 0.6535 4.7686" Properties=species:S:1:pos:R:3 pbc="T T T"
Au -2.3519 -0.4408 0.6589
Au 0.6067 0.3268 2.3843
Au -0.5103 2.4205 -0.2019
Bi -2.2554 2.3064 2.8413
Pt 0.0000 0.0000 0.0000
```